Crystalline AgPt6 at its relaxed geometry, computed with PBE.

The calculation puts the total magnetization at 2.3 μB per formula unit. Its total energy is -66.4 eV/cell. As for the crystal system: cubic. Its formation energy is 0.84 eV per atom.

The structure belongs to space group Im-3m (No. 229); the cell edges are 7.030, 7.030 and 7.030 Å and the angles 90.00°, 90.00° and 90.00°. Symmetry generates all atoms from Ag at (0.000, 0.000, 0.000) and Pt at (0.000, 0.250, 0.500).